Model i:
VASP calculation (PBE) on a relaxed BeCd2O crystal.

Cell: 6.267 6.267 6.267 Å, 90.00 90.00 90.00°
Space group Fm-3m (No. 225)
Symmetry-distinct sites (fractional):
Be (0.000, 0.000, 0.000)
Cd (0.250, 0.250, 0.250)
O (0.000, 0.000, 0.500)

Computed properties:
Volume, Å³ per atom: 15.4
Magnetization, μB/atom: 0.000
Crystal system: cubic


Model ii:
VASP calculation (PBE) on a relaxed BeCd2O crystal.

Cell: 6.046 6.046 7.770 Å, 90.00 90.00 90.00°
Space group I-42d (No. 122)
Symmetry-distinct sites (fractional):
Be (0.000, 0.000, 0.000)
Cd (0.218, 0.250, 0.625)
O (0.000, 0.000, 0.500)

Computed properties:
Volume, Å³ per atom: 17.8
Magnetization, μB/atom: 0.000
Crystal system: tetragonal


model ii ends up most stable, edging out the next structure by 41.3 kJ/mol of atoms.


Model i:
VASP calculation (PBE) on a relaxed BeCdPO2 crystal.

Cell: 3.558 3.558 5.012 Å, 90.00 90.00 90.00°
Space group P4/mmm (No. 123)
Symmetry-distinct sites (fractional):
Be (0.000, 0.000, 0.000)
Cd (0.500, 0.500, 0.500)
P (0.000, 0.000, 0.500)
O (0.000, 0.500, 0.000)

Computed properties:
Volume, Å³ per atom: 12.7
Magnetization, μB/atom: 0.000
Crystal system: tetragonal


Model ii:
VASP calculation (PBE) on a relaxed BeCdPO2 crystal.

Cell: 3.987 3.987 5.354 Å, 90.00 90.00 90.00°
Space group P4/mmm (No. 123)
Symmetry-distinct sites (fractional):
Be (0.000, 0.000, 0.000)
Cd (0.500, 0.500, 0.500)
P (0.500, 0.500, 0.000)
O (0.000, 0.500, 0.500)

Computed properties:
Volume, Å³ per atom: 17.0
Magnetization, μB/atom: 0.000
Crystal system: tetragonal


model i ends up most stable, edging out the next structure by 101.7 kJ/mol of atoms.